1.
Compound: Ce2ZnN
Source: Alexandria via LeMat-Bulk
Functional: GGA-PBE
Structure: optimized geometry

Calculated values
ΔE to the lowest computed polymorph: 0.000 eV per atom
Formation energy without anion corrections: -0.720 eV per atom
Magnetic moment: 0.00 μB/atom
Space-group type: R3m

Cell: 8.049 8.049 8.049 Å, 25.15 25.15 25.15°
Fractional coordinates of all 4 atoms:
Ce 0.000 0.000 0.000
Ce 0.212 0.212 0.212
Zn 0.440 0.440 0.440
N 0.606 0.606 0.606



2.
Compound: Ce2ZnN
Source: Alexandria via LeMat-Bulk
Functional: GGA-PBE
Structure: optimized geometry

Calculated values
ΔE to the lowest computed polymorph: 0.200 eV per atom
Formation energy without anion corrections: -0.520 eV per atom
Magnetic moment: 0.00 μB/atom
Space-group type: P4/mmm

Cell: 3.051 3.051 7.676 Å, 90.00 90.00 90.00°
Fractional coordinates of all 4 atoms:
Ce 0.000 0.000 0.192
Ce 0.000 0.000 0.808
Zn 0.500 0.500 0.500
N 0.500 0.500 0.000



3.
Compound: Ce2ZnN3
Source: Alexandria via LeMat-Bulk
Functional: GGA-PBE
Structure: optimized geometry

Calculated values
Formation energy without anion corrections: -0.980 eV per atom
Magnetic moment: 0.18 μB/atom
Space-group type: C2/c

Cell: 6.018 6.018 6.317 Å, 110.19 110.19 61.46°
Fractional coordinates of all 12 atoms:
Ce 0.006 0.321 0.195
Ce 0.321 0.006 0.695
Ce 0.679 0.994 0.305
Ce 0.994 0.679 0.805
Zn 0.400 0.600 0.250
Zn 0.600 0.400 0.750
N 0.069 0.931 0.250
N 0.297 0.337 0.549
N 0.337 0.297 0.049
N 0.663 0.703 0.951
N 0.703 0.663 0.451
N 0.931 0.069 0.750



4.
Compound: Ce4Zn2N
Source: Alexandria via LeMat-Bulk
Functional: GGA-PBE
Structure: optimized geometry

Calculated values
Formation energy without anion corrections: -0.432 eV per atom
Magnetic moment: 0.42 μB/atom
Space-group type: I4/mmm

Cell: 8.013 8.013 8.013 Å, 144.49 144.49 51.09°
Fractional coordinates of all 7 atoms:
Ce 0.000 0.500 0.500
Ce 0.170 0.170 0.000
Ce 0.500 0.000 0.500
Ce 0.830 0.830 0.000
Zn 0.373 0.373 0.000
Zn 0.627 0.627 0.000
N 0.000 0.000 0.000



5.
Compound: Ce3ZnN4
Source: Alexandria via LeMat-Bulk
Functional: GGA-PBE
Structure: optimized geometry

Calculated values
Formation energy without anion corrections: -1.064 eV per atom
Magnetic moment: 0.05 μB/atom
Space-group type: P4/mmm

Cell: 3.558 3.558 9.465 Å, 90.00 90.00 90.00°
Fractional coordinates of all 8 atoms:
Ce 0.000 0.000 0.000
Ce 0.500 0.500 0.271
Ce 0.500 0.500 0.729
Zn 0.000 0.000 0.500
N 0.000 0.000 0.265
N 0.000 0.000 0.735
N 0.500 0.500 0.000
N 0.500 0.500 0.500



6.
Compound: Ce3ZnN
Source: Alexandria via LeMat-Bulk
Functional: GGA-PBE
Structure: optimized geometry

Calculated values
Formation energy without anion corrections: -0.637 eV per atom
Magnetic moment: 0.40 μB/atom
Space-group type: Pm-3m

Cell: 4.844 4.844 4.844 Å, 90.00 90.00 90.00°
Fractional coordinates of all 5 atoms:
Ce 0.000 0.000 0.500
Ce 0.000 0.500 0.000
Ce 0.500 0.000 0.000
Zn 0.500 0.500 0.500
N 0.000 0.000 0.000



7.
Compound: Ce2ZrZnN5
Source: Alexandria via LeMat-Bulk
Functional: GGA-PBE
Structure: optimized geometry

Calculated values
Formation energy without anion corrections: -0.930 eV per atom
Magnetic moment: 0.00 μB/atom
Space-group type: Cmc2_1

Cell: 6.983 6.983 10.273 Å, 90.00 90.00 152.01°
Fractional coordinates of all 18 atoms:
Ce 0.115 0.885 0.500
Ce 0.130 0.870 0.109
Ce 0.870 0.130 0.609
Ce 0.885 0.115 0.000
Zr 0.203 0.797 0.814
Zr 0.797 0.203 0.314
Zn 0.487 0.513 0.291
Zn 0.513 0.487 0.791
N 0.049 0.951 0.882
N 0.289 0.711 0.468
N 0.306 0.694 0.172
N 0.360 0.640 0.825
N 0.494 0.506 0.594
N 0.506 0.494 0.094
N 0.640 0.360 0.325
N 0.694 0.306 0.672
N 0.711 0.289 0.968
N 0.951 0.049 0.382



8.
Compound: CeZrN
Source: Alexandria via LeMat-Bulk
Functional: GGA-PBE
Structure: optimized geometry

Calculated values
ΔE to the lowest computed polymorph: 0.329 eV per atom
Formation energy without anion corrections: -0.667 eV per atom
Magnetic moment: 0.23 μB/atom
Space-group type: I4mm

Cell: 7.004 7.004 7.004 Å, 154.29 154.29 36.67°
Fractional coordinates of all 3 atoms:
Ce 0.000 0.000 0.000
Zr 0.298 0.298 0.000
N 0.799 0.799 0.000